No. 1
This record from Alexandria via LeMat-Bulk describes crystalline MnCrCo2 at its relaxed geometry. The functional is PBE.

Density of states at the Fermi level ... 4.090 states/eV per cell
V ... 43 Å³ per cell
Space group ... I4/mmm, No. 139
ΔH_f (0 K) ... 0.02 eV per atom

Lattice parameters (Å, degrees): 4.318 4.318 4.318 132.28 132.28 69.78
Fractional coordinates of all 4 atoms:
Mn 0.000 0.000 0.000
Cr 0.500 0.500 0.000
Co 0.250 0.750 0.500
Co 0.750 0.250 0.500

---

No. 2
This record from Alexandria via LeMat-Bulk describes crystalline V3MoRu2 at its relaxed geometry. The functional is PBE.

Density of states at the Fermi level ... 4.659 states/eV per cell
V ... 84 Å³ per cell
Space group ... P4/mmm, No. 123
Relative energy among the computed polymorphs ... 15.7 meV per atom
ΔH_f (0 K) ... -0.25 eV per atom

Lattice parameters (Å, degrees): 3.028 3.028 9.120 90.00 90.00 90.00
Fractional coordinates of all 6 atoms:
V 0.000 0.000 0.000
V 0.000 0.000 0.336
V 0.000 0.000 0.664
Mo 0.500 0.500 0.500
Ru 0.500 0.500 0.164
Ru 0.500 0.500 0.836

---

No. 3
This record from Alexandria via LeMat-Bulk describes crystalline Sm6YSc at its relaxed geometry. The functional is PBE.

Density of states at the Fermi level ... 13.753 states/eV per cell
V ... 286 Å³ per cell
Space group ... C2/m, No. 12
Relative energy among the computed polymorphs ... 347.3 meV per atom
ΔH_f (0 K) ... 0.38 eV per atom

Lattice parameters (Å, degrees): 5.738 5.738 9.281 102.21 102.21 76.75
Fractional coordinates of all 8 atoms:
Sm 0.043 0.557 0.209
Sm 0.133 0.133 0.427
Sm 0.443 0.957 0.791
Sm 0.557 0.043 0.209
Sm 0.867 0.867 0.573
Sm 0.957 0.443 0.791
Y 0.000 0.000 0.000
Sc 0.500 0.500 0.500

---

No. 4
This record from Alexandria via LeMat-Bulk describes crystalline Tb4Ce2Pb3O2 at its relaxed geometry. The functional is PBE.

Density of states at the Fermi level ... 16.717 states/eV per cell
V ... 288 Å³ per cell
Space group ... I4/mmm, No. 139
Energy relative to the elements, uncorrected ... -1.3493 eV per atom

Lattice parameters (Å, degrees): 13.325 13.325 13.325 159.56 159.56 29.07
Fractional coordinates of all 11 atoms:
Tb 0.083 0.583 0.500
Tb 0.417 0.917 0.500
Tb 0.583 0.083 0.500
Tb 0.917 0.417 0.500
Ce 0.194 0.194 0.000
Ce 0.806 0.806 0.000
Pb 0.325 0.325 0.000
Pb 0.500 0.500 0.000
Pb 0.675 0.675 0.000
O 0.097 0.097 0.000
O 0.903 0.903 0.000

---

- V of number 1 (MnCrCo2)?
  43 Å³ per cell